1.
{"formula": "Pb2C", "functional": "PBE-GGA", "state": "optimized geometry", "magmom_total_mub_per_atom": 0.00, "e_form_ev_per_atom": 1.39, "vol_a3_per_atom": 24.10, "space_group": "No. 225", "lattice_angstrom": [[-1.633, -4.369, -0.330], [0.053, -2.804, 3.742], [-4.009, -1.163, 2.107]], "species": ["Pb", "C", "Pb"], "fractional_positions": [[0.250, 0.250, 0.250], [0.000, 0.000, 0.000], [0.750, 0.750, 0.750]]}

---

2.
{"formula": "Ba5Cd", "functional": "PBE-GGA", "state": "optimized geometry", "magmom_total_mub_per_atom": 0.00, "e_form_ev_per_atom": 0.26, "vol_a3_per_atom": 59.03, "space_group": "No. 216", "lattice_angstrom": [[0.000, 5.616, 5.616], [5.616, 0.000, 5.616], [5.616, 5.616, 0.000]], "species": ["Ba", "Cd", "Ba", "Ba", "Ba", "Ba"], "fractional_positions": [[0.626, 0.123, 0.626], [0.000, 0.000, 0.000], [0.626, 0.626, 0.123], [0.250, 0.250, 0.250], [0.123, 0.626, 0.626], [0.626, 0.626, 0.626]]}

---

3.
{"formula": "ReAs2W", "functional": "PBE-GGA", "state": "optimized geometry", "magmom_total_mub_per_atom": 0.00, "e_form_ev_per_atom": 0.28, "vol_a3_per_atom": 16.35, "space_group": "No. 44", "lattice_angstrom": [[-3.669, -5.044, 1.462], [-3.006, -4.693, -3.160], [5.248, 3.527, 1.030]], "species": ["As", "W", "As", "Re"], "fractional_positions": [[0.707, 0.207, 0.500], [0.294, 0.794, 0.500], [0.957, 0.957, 0.000], [0.543, 0.543, 0.000]]}

---

4.
{"formula": "Ta2MnCl", "functional": "PBE-GGA", "state": "optimized geometry", "magmom_total_mub_per_atom": 0.36, "vol_a3_per_atom": 16.26, "space_group": "No. 71", "e_form_raw_ev_per_atom": 0.564, "lattice_angstrom": [[-1.844, -2.954, 3.492], [2.502, -4.229, -0.416], [0.748, 4.773, 0.990]], "species": ["Mn", "Ta", "Cl", "Ta"], "fractional_positions": [[0.250, 0.750, 0.500], [0.512, 0.512, 0.000], [0.750, 0.250, 0.500], [0.988, 0.988, 0.000]]}

---

5.
{"formula": "CeNpCuNi", "functional": "PBE-GGA", "state": "optimized geometry", "magmom_total_mub_per_atom": 1.02, "e_form_ev_per_atom": -0.05, "vol_a3_per_atom": 17.13, "space_group": "No. 216", "lattice_angstrom": [[4.593, 0.000, 0.000], [2.297, 3.978, 0.000], [2.297, 1.326, 3.750]], "species": ["Ce", "Ni", "Np", "Cu"], "fractional_positions": [[0.250, 0.250, 0.250], [0.750, 0.750, 0.750], [0.500, 0.500, 0.500], [0.000, 0.000, 0.000]]}

---

6.
{"formula": "HgSb2Au2", "functional": "PBE-GGA", "state": "optimized geometry", "magmom_total_mub_per_atom": 0.00, "vol_a3_per_atom": 24.35, "space_group": "No. 127", "e_form_raw_ev_per_atom": 0.110, "lattice_angstrom": [[-1.672, -1.217, -8.010], [7.148, -4.073, -0.873], [-1.641, -3.052, 0.806]], "species": ["Hg", "Sb", "Au", "Hg", "Sb", "Au", "Sb", "Au", "Au", "Sb"], "fractional_positions": [[0.000, 0.000, 0.000], [0.813, 0.687, 0.000], [0.120, 0.620, 0.500], [0.500, 0.500, 0.000], [0.187, 0.313, 0.000], [0.380, 0.120, 0.500], [0.313, 0.813, 0.000], [0.620, 0.880, 0.500], [0.880, 0.380, 0.500], [0.687, 0.187, 0.000]]}

---

Repeat the third record exactly.
{"formula": "ReAs2W", "functional": "PBE-GGA", "state": "optimized geometry", "magmom_total_mub_per_atom": 0.00, "e_form_ev_per_atom": 0.28, "vol_a3_per_atom": 16.35, "space_group": "No. 44", "lattice_angstrom": [[-3.669, -5.044, 1.462], [-3.006, -4.693, -3.160], [5.248, 3.527, 1.030]], "species": ["As", "W", "As", "Re"], "fractional_positions": [[0.707, 0.207, 0.500], [0.294, 0.794, 0.500], [0.957, 0.957, 0.000], [0.543, 0.543, 0.000]]}